Entry 1:
Pr6PPt2Cl3 after structural relaxation. Source: Alexandria, functional GGA-PBE.

Cell lengths 7.373, 7.373, 7.513 Å; angles 99.42, 99.42, 119.95 degrees
Fractional positions:
1 P 0.000 0.000 0.000
2 Pr 0.925 0.588 0.780
3 Pr 0.267 0.267 0.784
4 Pr 0.075 0.412 0.220
5 Pr 0.733 0.733 0.216
6 Pr 0.588 0.925 0.780
7 Pr 0.412 0.075 0.220
8 Cl 0.500 0.500 0.500
9 Cl 0.156 0.844 0.500
10 Cl 0.844 0.156 0.500
11 Pt 0.668 0.332 0.000
12 Pt 0.332 0.668 0.000

Values from the calculation:
Raw formation energy   -1596 kJ/mol of formula units



Entry 2:
Pr8PPt3Cl4 after structural relaxation. Source: Alexandria, functional GGA-PBE.

Cell lengths 8.473, 8.714, 8.473 Å; angles 119.09, 120.00, 90.00 degrees
Fractional positions:
1 Pr 0.241 0.720 0.482
2 Pr 0.737 0.710 0.473
3 Pr 0.739 0.720 0.980
4 Pr 0.261 0.280 0.020
5 Pr 0.759 0.280 0.518
6 Pr 0.759 0.280 0.020
7 Pr 0.263 0.290 0.527
8 Pr 0.241 0.720 0.980
9 P 0.000 0.500 0.000
10 Cl 0.500 0.000 0.000
11 Cl 0.500 0.000 0.500
12 Cl 0.000 0.000 0.000
13 Cl 0.000 0.000 0.500
14 Pt 0.000 0.500 0.500
15 Pt 0.500 0.500 0.500
16 Pt 0.500 0.500 0.000

Values from the calculation:
Raw formation energy   -2097 kJ/mol of formula units



Entry 3:
Pr4PRhCl2 after structural relaxation. Source: Alexandria, functional GGA-PBE.

Cell lengths 4.064, 7.509, 7.440 Å; angles 107.47, 90.00, 90.00 degrees
Fractional positions:
1 Cl 0.000 0.500 0.500
2 Cl 0.500 0.000 0.500
3 Pr 0.500 0.237 0.219
4 Pr 0.000 0.270 0.787
5 Pr 0.500 0.763 0.781
6 Pr 0.000 0.730 0.213
7 P 0.000 0.000 0.000
8 Rh 0.500 0.500 0.000

Values from the calculation:
Raw formation energy   -1020 kJ/mol of formula units



Entry 4:
Pr6PRh2Cl3 after structural relaxation. Source: Alexandria, functional GGA-PBE.

Cell lengths 7.237, 7.237, 7.775 Å; angles 98.84, 98.84, 119.99 degrees
Fractional positions:
1 Pr 0.589 0.930 0.790
2 Pr 0.930 0.589 0.790
3 Pr 0.273 0.273 0.791
4 Pr 0.727 0.727 0.209
5 Pr 0.070 0.411 0.210
6 Pr 0.411 0.070 0.210
7 Cl 0.161 0.839 0.500
8 Cl 0.500 0.500 0.500
9 Cl 0.839 0.161 0.500
10 Rh 0.333 0.667 0.000
11 Rh 0.667 0.333 0.000
12 P 0.000 0.000 0.000

Values from the calculation:
Raw formation energy   -1450 kJ/mol of formula units



Entry 5:
Pr8PRh3Cl4 after structural relaxation. Source: Alexandria, functional GGA-PBE.

Cell lengths 8.345, 8.856, 8.346 Å; angles 118.13, 120.00, 90.00 degrees
Fractional positions:
1 Pr 0.240 0.708 0.969
2 Pr 0.760 0.292 0.521
3 Pr 0.729 0.708 0.969
4 Pr 0.264 0.292 0.528
5 Pr 0.271 0.292 0.031
6 Pr 0.760 0.292 0.031
7 Pr 0.240 0.708 0.479
8 Pr 0.736 0.708 0.472
9 Cl 0.000 0.000 0.500
10 Cl 0.500 0.000 0.000
11 Cl 0.000 0.000 0.000
12 Cl 0.500 0.000 0.500
13 Rh 0.500 0.500 0.000
14 Rh 0.000 0.500 0.500
15 Rh 0.500 0.500 0.500
16 P 0.000 0.500 0.000

Values from the calculation:
Raw formation energy   -1872 kJ/mol of formula units



Entry 6:
Pr6P2RhCl3 after structural relaxation. Source: Alexandria, functional GGA-PBE.

Cell lengths 4.079, 8.753, 9.518 Å; angles 103.51, 102.37, 90.00 degrees
Fractional positions:
1 Rh 0.500 0.000 0.000
2 Pr 0.661 0.103 0.322
3 Pr 0.339 0.897 0.678
4 Pr 0.993 0.774 0.986
5 Pr 0.326 0.436 0.651
6 Pr 0.007 0.226 0.014
7 Pr 0.674 0.564 0.349
8 Cl 0.832 0.171 0.664
9 Cl 0.500 0.500 0.000
10 Cl 0.168 0.829 0.336
11 P 0.833 0.665 0.665
12 P 0.167 0.335 0.335

Values from the calculation:
Raw formation energy   -1646 kJ/mol of formula units



Entry 7:
Pr8PRu3Cl4 after structural relaxation. Source: Alexandria, functional GGA-PBE.

Cell lengths 8.298, 8.918, 8.298 Å; angles 117.75, 120.00, 90.00 degrees
Fractional positions:
1 Pr 0.761 0.297 0.036
2 Pr 0.275 0.297 0.036
3 Pr 0.262 0.285 0.523
4 Pr 0.725 0.703 0.964
5 Pr 0.761 0.297 0.522
6 Pr 0.738 0.715 0.477
7 Pr 0.239 0.703 0.478
8 Pr 0.239 0.703 0.964
9 Cl 0.500 0.000 0.500
10 Cl 0.000 0.000 0.000
11 Cl 0.500 0.000 0.000
12 Cl 0.000 0.000 0.500
13 Ru 0.000 0.500 0.500
14 Ru 0.500 0.500 0.000
15 Ru 0.500 0.500 0.500
16 P 0.000 0.500 0.000

Values from the calculation:
Raw formation energy   -1583 kJ/mol of formula units



Entry 8:
Pr6P2RuCl3 after structural relaxation. Source: Alexandria, functional GGA-PBE.

Cell lengths 4.090, 8.857, 9.494 Å; angles 104.19, 102.44, 90.00 degrees
Fractional positions:
1 Pr 0.346 0.896 0.693
2 Pr 0.994 0.773 0.988
3 Pr 0.325 0.435 0.650
4 Pr 0.006 0.227 0.012
5 Pr 0.675 0.565 0.350
6 Pr 0.654 0.104 0.307
7 P 0.834 0.663 0.668
8 P 0.166 0.337 0.332
9 Ru 0.500 0.000 0.000
10 Cl 0.500 0.500 0.000
11 Cl 0.171 0.830 0.342
12 Cl 0.829 0.170 0.658

Values from the calculation:
Raw formation energy   -1554 kJ/mol of formula units



Question: Look up the raw formation energy of the eighth one.
Answer: -1554 kJ/mol of formula units



Question: Among the records above, which one has the highest raw formation energy?
Answer: Pr4PRhCl2